1.
Entry from the Alexandria database: an optimized crystal structure of Pu3AsSe3 (GGA-PBE).

a = 8.550 Å, b = 8.550 Å, c = 7.602 Å
α = 55.78°, β = 55.78°, γ = 60.00°
Element x y z (fractional)
Pu (0.703, 0.459, 0.776)
Se (0.185, 0.897, 0.279)
Se (0.815, 0.103, 0.721)
As (0.664, 0.664, 0.009)
Se (0.897, 0.639, 0.279)
Pu (0.297, 0.541, 0.224)
Se (0.361, 0.815, 0.721)
Se (0.639, 0.185, 0.279)
Pu (0.062, 0.703, 0.776)
Pu (0.938, 0.297, 0.224)
Pu (0.541, 0.938, 0.224)
Se (0.103, 0.361, 0.721)
Pu (0.459, 0.062, 0.776)
As (0.336, 0.336, 0.991)

Summary:
excess energy over the best structure of this formula in the dataset = 0 meV per atom
raw formation energy = -1.308 eV per atom
SG = R-3

=====

2.
Entry from the Alexandria database: an optimized crystal structure of TbPuAsSe (GGA-PBE).

a = 4.146 Å, b = 4.146 Å, c = 7.146 Å
α = 73.14°, β = 73.14°, γ = 60.00°
Element x y z (fractional)
Tb (0.696, 0.696, 0.911)
Se (0.944, 0.944, 0.167)
As (0.444, 0.444, 0.669)
Pu (0.192, 0.192, 0.424)

Summary:
raw formation energy = -1.526 eV per atom
SG = R3m

=====

3.
Entry from the Alexandria database: an optimized crystal structure of Pu4TeAsSe2 (GGA-PBE).

a = 4.210 Å, b = 7.304 Å, c = 7.346 Å
α = 70.17°, β = 90.00°, γ = 90.00°
Element x y z (fractional)
Pu (0.500, 0.247, 0.741)
Se (0.500, 0.000, 0.500)
Pu (0.500, 0.753, 0.259)
Pu (0.000, 0.761, 0.734)
Te (0.500, 0.500, 0.000)
As (0.000, 0.500, 0.500)
Pu (0.000, 0.239, 0.266)
Se (0.000, 0.000, 0.000)

Summary:
raw formation energy = -1.243 eV per atom
SG = P2/m

=====

4.
Entry from the Alexandria database: an optimized crystal structure of Pu6Te3AsSe2 (GGA-PBE).

a = 7.427 Å, b = 7.427 Å, c = 7.483 Å
α = 99.52°, β = 99.52°, γ = 119.98°
Element x y z (fractional)
Te (0.500, 0.500, 0.500)
Se (0.666, 0.334, 0.000)
Se (0.334, 0.666, 0.000)
Pu (0.924, 0.594, 0.773)
Pu (0.255, 0.255, 0.773)
Pu (0.594, 0.924, 0.773)
As (0.000, 0.000, 0.000)
Pu (0.406, 0.076, 0.227)
Pu (0.076, 0.406, 0.227)
Pu (0.745, 0.745, 0.227)
Te (0.168, 0.832, 0.500)
Te (0.832, 0.168, 0.500)

Summary:
raw formation energy = -1.235 eV per atom
SG = C2/m

=====

5.
Entry from the Alexandria database: an optimized crystal structure of Pu6Te3As2Se (GGA-PBE).

a = 4.173 Å, b = 11.419 Å, c = 7.303 Å
α = 75.76°, β = 106.60°, γ = 90.00°
Element x y z (fractional)
As (0.249, 0.427, 0.498)
Se (0.500, 0.000, 0.000)
Te (0.500, 0.500, 0.000)
Pu (0.099, 0.666, 0.199)
As (0.751, 0.573, 0.502)
Pu (0.892, 0.917, 0.783)
Te (0.254, 0.831, 0.509)
Te (0.746, 0.169, 0.491)
Pu (0.108, 0.083, 0.217)
Pu (0.092, 0.310, 0.183)
Pu (0.901, 0.334, 0.801)
Pu (0.908, 0.690, 0.817)

Summary:
raw formation energy = -0.582 eV per atom
SG = C2/m

=====

6.
Entry from the Alexandria database: an optimized crystal structure of PuThAsSe (GGA-PBE).

a = 5.112 Å, b = 5.112 Å, c = 5.113 Å
α = 60.01°, β = 60.01°, γ = 60.00°
Element x y z (fractional)
As (0.444, 0.444, 0.668)
Pu (0.194, 0.194, 0.418)
Se (0.944, 0.944, 0.168)
Th (0.694, 0.694, 0.918)

Summary:
raw formation energy = -1.177 eV per atom
SG = F-43m

=====

7.
Entry from the Alexandria database: an optimized crystal structure of TmPuAsSe (GGA-PBE).

a = 4.106 Å, b = 4.106 Å, c = 7.090 Å
α = 73.17°, β = 73.17°, γ = 60.00°
Element x y z (fractional)
Pu (0.192, 0.192, 0.424)
Se (0.946, 0.946, 0.161)
Tm (0.697, 0.697, 0.910)
As (0.442, 0.442, 0.675)

Summary:
raw formation energy = -1.495 eV per atom
SG = R3m

=====

8.
Entry from the Alexandria database: an optimized crystal structure of SmPu4As5 (GGA-PBE).

a = 4.155 Å, b = 7.186 Å, c = 9.279 Å
α = 75.03°, β = 77.06°, γ = 73.19°
Element x y z (fractional)
Pu (0.799, 0.604, 0.798)
As (0.798, 0.099, 0.304)
Pu (0.201, 0.396, 0.202)
Pu (0.598, 0.202, 0.602)
As (0.000, 0.500, 0.500)
Sm (0.000, 0.000, 0.000)
Pu (0.402, 0.798, 0.398)
As (0.396, 0.310, 0.898)
As (0.202, 0.901, 0.696)
As (0.604, 0.690, 0.102)

Summary:
ΔE_f = -1.12 eV per atom
SG = C2/m